SmZnAgAs2 | Alexandria via LeMat-Bulk | SCAN | PBEsol geometry; energy of formation from the pure elements = -720 meV/atom; SG = No. 156
1.0
-1.9118 -3.6779 0.7842
3.4070 0.1186 -2.4851
3.9895 -0.9169 5.4258
Zn As Ag Sm
1 2 1 1
direct
0.3333 0.6667 0.6251 Zn
0.6667 0.3333 0.7547 As
0.3333 0.6667 0.2425 As
0.6667 0.3333 0.3642 Ag
0.0000 0.0000 0.0134 Sm

KMgRe | Alexandria via LeMat-Bulk | SCAN | PBEsol geometry; energy of formation from the pure elements = 2366 meV/atom; energy above the most stable polymorph in this dataset = 1355.7 meV/atom; SG = No. 216
1.0
5.0109 0.0000 0.0000
2.5054 4.3395 0.0000
2.5054 1.4465 4.0914
K Mg Re
1 1 1
direct
0.2500 0.2500 0.2500 K
0.0000 0.0000 0.0000 Mg
0.5000 0.5000 0.5000 Re

Zr2CoAu | Alexandria via LeMat-Bulk | SCAN | PBEsol geometry; energy of formation from the pure elements = -220 meV/atom; energy above the most stable polymorph in this dataset = 318.0 meV/atom; SG = No. 216
1.0
-4.0164 -2.0430 -0.3837
-0.7133 -3.9826 2.0204
-2.7557 -0.2598 3.5765
Au Co Zr
1 1 2
direct
0.5000 0.5000 0.5000 Au
0.2500 0.2500 0.2500 Co
0.0000 0.0000 0.0000 Zr
0.7500 0.7500 0.7500 Zr